Entry 1:
A plane-wave DFT calculation with PBE was carried out for crystalline Ag2PdPb at its relaxed geometry.

```
data_Ag2PdPb
_space_group_name_H-M_alt 'I -4 2 d'
_space_group_IT_number 122
_space_group_name_Hall 'I -4 2bw'
_cell_length_a 7.836
_cell_length_b 7.836
_cell_length_c 5.535
_cell_angle_alpha 90.00
_cell_angle_beta 90.00
_cell_angle_gamma 90.00
loop_
_atom_site_label
_atom_site_type_symbol
_atom_site_fract_x
_atom_site_fract_y
_atom_site_fract_z
Ag1 Ag 0.229 0.250 0.125
Pd1 Pd 0.000 0.000 0.000
Pb1 Pb 0.000 0.000 0.500
```

Properties
DFT total energy, eV per atom: -3.5156
Theoretical density, Mg/m³: 10.35
DFT formation energy, eV per atom: 0.1353
V, Å³/atom: 21.24


Entry 2:
A plane-wave DFT calculation with PBE was carried out for crystalline AgPd2Pb at its relaxed geometry.

```
data_AgPd2Pb
_space_group_name_H-M_alt 'P 4/m m m'
_space_group_IT_number 123
_space_group_name_Hall '-P 4 2'
_cell_length_a 3.507
_cell_length_b 3.507
_cell_length_c 6.009
_cell_angle_alpha 90.00
_cell_angle_beta 90.00
_cell_angle_gamma 90.00
loop_
_atom_site_label
_atom_site_type_symbol
_atom_site_fract_x
_atom_site_fract_y
_atom_site_fract_z
Ag1 Ag 0.000 0.000 0.000
Pd1 Pd 0.500 0.500 0.243
Pb1 Pb 0.000 0.000 0.500
```

Properties
DFT total energy, eV per atom: -4.3629
Theoretical density, Mg/m³: 11.86
DFT formation energy, eV per atom: -0.1266
V, Å³/atom: 18.48


Entry 3:
A plane-wave DFT calculation with PBE was carried out for crystalline Ag3Pd4Pb at its relaxed geometry.

```
data_Ag3Pd4Pb
_space_group_name_H-M_alt 'I m m 2'
_space_group_IT_number 44
_cell_length_a 5.604
_cell_length_b 9.487
_cell_length_c 5.457
_cell_angle_alpha 90.00
_cell_angle_beta 90.00
_cell_angle_gamma 90.00
loop_
_space_group_symop_operation_xyz
'x,y,z'
'-x,-y,z'
'-x,y,z'
'x,-y,z'
'x+1/2,y+1/2,z+1/2'
'-x+1/2,-y+1/2,z+1/2'
'-x+1/2,y+1/2,z+1/2'
'x+1/2,-y+1/2,z+1/2'
loop_
_atom_site_label
_atom_site_type_symbol
_atom_site_fract_x
_atom_site_fract_y
_atom_site_fract_z
Ag1 Ag 0.000 0.000 0.000
Ag2 Ag 0.000 0.251 0.242
Pd1 Pd 0.000 0.243 0.742
Pd2 Pd 0.246 0.000 0.512
Pb1 Pb 0.000 0.500 0.535
```

Properties
DFT total energy, eV per atom: -4.0780
Theoretical density, Mg/m³: 10.95
DFT formation energy, eV per atom: 0.0512
V, Å³/atom: 18.13


Entry 4:
A plane-wave DFT calculation with PBE was carried out for crystalline AgPd6Pb3 at its relaxed geometry.

```
data_AgPd6Pb3
_space_group_name_H-M_alt 'P 1 21/m 1'
_space_group_IT_number 11
_cell_length_a 8.243
_cell_length_b 4.759
_cell_length_c 10.061
_cell_angle_alpha 90.00
_cell_angle_beta 109.26
_cell_angle_gamma 90.00
loop_
_space_group_symop_operation_xyz
'x,y,z'
'-x,-y,-z'
'-x,y+1/2,-z'
'x,-y+1/2,z'
loop_
_atom_site_label
_atom_site_type_symbol
_atom_site_fract_x
_atom_site_fract_y
_atom_site_fract_z
Ag1 Ag 0.109 0.250 0.056
Pd1 Pd 0.113 0.250 0.575
Pd2 Pd 0.121 0.750 0.234
Pd3 Pd 0.283 0.750 0.020
Pd4 Pd 0.311 0.250 0.365
Pd5 Pd 0.484 0.250 0.167
Pd6 Pd 0.495 0.750 0.331
Pb1 Pb 0.052 0.750 0.727
Pb2 Pb 0.311 0.750 0.529
Pb3 Pb 0.341 0.250 0.873
```

Properties
DFT total energy, eV per atom: -4.6855
Theoretical density, Mg/m³: 12.19
DFT formation energy, eV per atom: -0.1721
V, Å³/atom: 18.63


Entry 5:
A plane-wave DFT calculation with PBE was carried out for crystalline Ag2PdPb at its relaxed geometry.

```
data_Ag2PdPb
_space_group_name_H-M_alt 'P 4/m m m'
_space_group_IT_number 123
_space_group_name_Hall '-P 4 2'
_cell_length_a 4.147
_cell_length_b 4.147
_cell_length_c 4.505
_cell_angle_alpha 90.00
_cell_angle_beta 90.00
_cell_angle_gamma 90.00
loop_
_atom_site_label
_atom_site_type_symbol
_atom_site_fract_x
_atom_site_fract_y
_atom_site_fract_z
Ag1 Ag 0.000 0.500 0.000
Pd1 Pd 0.000 0.000 0.500
Pb1 Pb 0.500 0.500 0.500
```

Properties
DFT total energy, eV per atom: -3.6615
Theoretical density, Mg/m³: 11.35
DFT formation energy, eV per atom: -0.0106
V, Å³/atom: 19.36


Entry 6:
A plane-wave DFT calculation with PBE was carried out for crystalline AgPd3Pb3 at its relaxed geometry.

```
data_AgPd3Pb3
_space_group_name_H-M_alt 'P 63/m'
_space_group_IT_number 176
_space_group_name_Hall '-P 6c'
_cell_length_a 8.5102
_cell_length_b 8.5102
_cell_length_c 4.7849
_cell_angle_alpha 90.00
_cell_angle_beta 90.00
_cell_angle_gamma 120.00
loop_
_atom_site_label
_atom_site_type_symbol
_atom_site_fract_x
_atom_site_fract_y
_atom_site_fract_z
Ag1 Ag 0.3333 0.6667 0.2500
Pd1 Pd 0.0511 0.8326 0.2500
Pb1 Pb 0.0928 0.6674 0.7500
```

Properties
DFT total energy, eV per atom: -4.3317
Theoretical density, Mg/m³: 11.61
DFT formation energy, eV per atom: -0.1096
V, Å³/atom: 21.44


Entry 7:
A plane-wave DFT calculation with PBE was carried out for crystalline Ag2Pd8Pb at its relaxed geometry.

```
data_Ag2Pd8Pb
_space_group_name_H-M_alt 'C 1 2/m 1'
_space_group_IT_number 12
_cell_length_a 7.370
_cell_length_b 14.146
_cell_length_c 4.951
_cell_angle_alpha 90.00
_cell_angle_beta 131.43
_cell_angle_gamma 90.00
loop_
_space_group_symop_operation_xyz
'x,y,z'
'-x,-y,-z'
'-x,y,-z'
'x,-y,z'
'x+1/2,y+1/2,z'
'-x+1/2,-y+1/2,-z'
'-x+1/2,y+1/2,-z'
'x+1/2,-y+1/2,z'
loop_
_atom_site_label
_atom_site_type_symbol
_atom_site_fract_x
_atom_site_fract_y
_atom_site_fract_z
Ag1 Ag 0.000 0.183 0.000
Pd1 Pd 0.000 0.309 0.500
Pd2 Pd 0.029 0.000 0.277
Pd3 Pd 0.244 0.360 0.234
Pb1 Pb 0.000 0.500 0.500
```

Properties
DFT total energy, eV per atom: -4.5939
Theoretical density, Mg/m³: 10.94
DFT formation energy, eV per atom: 0.0383
V, Å³/atom: 17.59


Entry 8:
A plane-wave DFT calculation with PBE was carried out for crystalline Ag2Pd7Pb at its relaxed geometry.

```
data_Ag2Pd7Pb
_space_group_name_H-M_alt 'C m m m'
_space_group_IT_number 65
_space_group_name_Hall '-C 2 2'
_cell_length_a 7.253
_cell_length_b 13.664
_cell_length_c 4.392
_cell_angle_alpha 90.00
_cell_angle_beta 90.00
_cell_angle_gamma 90.00
loop_
_atom_site_label
_atom_site_type_symbol
_atom_site_fract_x
_atom_site_fract_y
_atom_site_fract_z
Ag1 Ag 0.000 0.201 0.000
Pd1 Pd 0.000 0.000 0.000
Pd2 Pd 0.000 0.308 0.500
Pd3 Pd 0.183 0.398 0.000
Pb1 Pb 0.000 0.500 0.500
```

Properties
DFT total energy, eV per atom: -4.1737
Theoretical density, Mg/m³: 8.91
DFT formation energy, eV per atom: 0.4024
V, Å³/atom: 21.76